Record 1
VASP calculation (PBE) on a relaxed MgMn2Ni crystal.

extended XYZ file:
```
12
Lattice="2.787 0.000 0.000 -1.393 2.413 0.000 0.000 0.000 25.775" Properties=species:S:1:pos:R:3 pbc="T T T"
Mg 0.000 0.000 0.000
Mg 0.000 1.609 17.183
Mg 1.393 0.804 8.592
Mn 0.000 0.000 6.239
Mn 0.000 0.000 19.537
Mn 0.000 1.609 10.945
Mn 0.000 1.609 23.422
Mn 1.393 0.804 2.353
Mn 1.393 0.804 14.830
Ni 0.000 0.000 12.888
Ni 0.000 1.609 4.296
Ni 1.393 0.804 21.479
```

Calculated values
The calculated density comes out at 5.54 g/cm3. The value obtained for the energy of formation from the pure elements is 0.29 eV/atom.

Record 2
VASP calculation (PBE) on a relaxed Er8MgAg2 crystal.

extended XYZ file:
```
11
Lattice="4.325 -7.127 0.000 4.325 7.127 0.000 -1.793 0.000 5.117" Properties=species:S:1:pos:R:3 pbc="T T T"
Er 0.726 1.668 3.086
Er 4.325 3.844 0.000
Er 0.726 -1.668 3.086
Er 3.079 0.000 1.014
Er 3.778 0.000 4.103
Er 6.132 1.668 2.031
Er 4.325 -3.844 0.000
Er 6.132 -1.668 2.031
Mg 0.000 0.000 0.000
Ag 3.429 2.786 2.559
Ag 3.429 -2.786 2.559
```

Calculated values
The calculated density comes out at 8.31 g/cm3. The value obtained for the energy of formation from the pure elements is 0.02 eV/atom.

Record 3
VASP calculation (PBE) on a relaxed RbTcS3 crystal.

extended XYZ file:
```
5
Lattice="5.322 0.000 0.000 0.000 5.322 0.000 0.000 0.000 5.322" Properties=species:S:1:pos:R:3 pbc="T T T"
Rb 0.000 0.000 0.000
Tc 2.661 2.661 2.661
S 0.000 0.000 2.661
S 0.000 2.661 0.000
S 2.661 0.000 0.000
```

Calculated values
The calculated density comes out at 3.08 g/cm3. As for the formation energy without anion corrections: 9.442 eV per formula unit. The calculation puts the energy relative to the lowest polymorph listed for this composition at 2.467 eV/atom.

Record 4
VASP calculation (PBE) on a relaxed Tc3GeBr crystal.

extended XYZ file:
```
5
Lattice="4.687 0.000 0.000 0.000 4.687 0.000 0.000 0.000 4.687" Properties=species:S:1:pos:R:3 pbc="T T T"
Tc 0.000 0.000 2.343
Tc 0.000 2.343 0.000
Tc 2.343 0.000 0.000
Ge 0.000 0.000 0.000
Br 2.343 2.343 2.343
```

Calculated values
The calculated density comes out at 7.20 g/cm3. As for the formation energy without anion corrections: 8.128 eV per formula unit. The calculation puts the energy relative to the lowest polymorph listed for this composition at 0.000 eV/atom.

Q: Which of these has the highest calculated density?
A: Er8MgAg2